Entry from Alexandria: SmErCdOs after structural relaxation (PBE).

Values from the calculation:
Calculated volume (Å³/atom): 22.7
Excess energy over the best structure of this formula in the dataset (meV per atom): 98
Electronic total energy (eV per atom): -5.53
Total magnetization (μB per cell): 0.00

Cell lengths 7.137, 7.137, 7.137 Å; angles 90.00, 90.00, 90.00 degrees
Space group F-43m (No. 216)
Asymmetric unit:
Sm (0.000, 0.000, 0.000)
Er (0.000, 0.000, 0.500)
Cd (0.250, 0.250, 0.250)
Os (0.250, 0.250, 0.750)

=====

Entry from Alexandria: TbErCdOs after structural relaxation (PBE).

Values from the calculation:
Calculated volume (Å³/atom): 22.1
Excess energy over the best structure of this formula in the dataset (meV per atom): 98
Electronic total energy (eV per atom): -5.55
Total magnetization (μB per cell): 0.00

Cell lengths 7.076, 7.076, 7.076 Å; angles 90.00, 90.00, 90.00 degrees
Space group F-43m (No. 216)
Asymmetric unit:
Tb (0.000, 0.000, 0.000)
Er (0.000, 0.000, 0.500)
Cd (0.250, 0.250, 0.750)
Os (0.250, 0.250, 0.250)

=====

Entry from Alexandria: TbErCdOs after structural relaxation (PBE).

Values from the calculation:
Calculated volume (Å³/atom): 23.0
Excess energy over the best structure of this formula in the dataset (meV per atom): 0
Electronic total energy (eV per atom): -5.65
Total magnetization (μB per cell): 0.00

Cell lengths 3.440, 3.440, 7.770 Å; angles 90.00, 90.00, 90.00 degrees
Space group P4mm (No. 99)
Asymmetric unit:
Tb (0.000, 0.000, 0.000)
Er (0.000, 0.000, 0.575)
Cd (0.500, 0.500, 0.293)
Os (0.500, 0.500, 0.783)

=====

Entry from Alexandria: ErThCdOs after structural relaxation (PBE).

Values from the calculation:
Calculated volume (Å³/atom): 23.6
Electronic total energy (eV per atom): -6.19
Total magnetization (μB per cell): 0.00

Cell lengths 7.230, 7.230, 7.230 Å; angles 90.00, 90.00, 90.00 degrees
Space group F-43m (No. 216)
Asymmetric unit:
Er (0.000, 0.000, 0.000)
Th (0.000, 0.000, 0.500)
Cd (0.250, 0.250, 0.750)
Os (0.250, 0.250, 0.250)

=====

Entry from Alexandria: YErCdOs after structural relaxation (PBE).

Values from the calculation:
Calculated volume (Å³/atom): 22.9
Excess energy over the best structure of this formula in the dataset (meV per atom): 0
Electronic total energy (eV per atom): -6.11
Total magnetization (μB per cell): 0.00

Cell lengths 3.445, 3.445, 7.719 Å; angles 90.00, 90.00, 90.00 degrees
Space group P4mm (No. 99)
Asymmetric unit:
Y (0.000, 0.000, 0.000)
Er (0.000, 0.000, 0.573)
Cd (0.500, 0.500, 0.290)
Os (0.500, 0.500, 0.782)

=====

Entry from Alexandria: YErCdOs after structural relaxation (PBE).

Values from the calculation:
Calculated volume (Å³/atom): 22.1
Excess energy over the best structure of this formula in the dataset (meV per atom): 96
Electronic total energy (eV per atom): -6.02
Total magnetization (μB per cell): 0.00

Cell lengths 7.070, 7.070, 7.070 Å; angles 90.00, 90.00, 90.00 degrees
Space group F-43m (No. 216)
Asymmetric unit:
Y (0.000, 0.000, 0.000)
Er (0.000, 0.000, 0.500)
Cd (0.250, 0.250, 0.250)
Os (0.250, 0.250, 0.750)

=====

Entry from Alexandria: ErZrCdOs after structural relaxation (PBE).

Values from the calculation:
Calculated volume (Å³/atom): 20.6
Excess energy over the best structure of this formula in the dataset (meV per atom): 129
Electronic total energy (eV per atom): -6.51
Total magnetization (μB per cell): 0.00

Cell lengths 6.906, 6.906, 6.906 Å; angles 90.00, 90.00, 90.00 degrees
Space group F-43m (No. 216)
Asymmetric unit:
Er (0.000, 0.000, 0.000)
Zr (0.000, 0.000, 0.500)
Cd (0.250, 0.250, 0.250)
Os (0.250, 0.250, 0.750)

=====

Entry from Alexandria: ErZrCdOs after structural relaxation (PBE).

Values from the calculation:
Calculated volume (Å³/atom): 21.3
Excess energy over the best structure of this formula in the dataset (meV per atom): 0
Electronic total energy (eV per atom): -6.64
Total magnetization (μB per cell): 0.00

Cell lengths 3.339, 3.339, 7.626 Å; angles 90.00, 90.00, 90.00 degrees
Space group P4mm (No. 99)
Asymmetric unit:
Er (0.000, 0.000, 0.000)
Zr (0.000, 0.000, 0.565)
Cd (0.500, 0.500, 0.293)
Os (0.500, 0.500, 0.760)